The following is a PBE calculation of a geometry-optimized CsTaW2 structure, from Alexandria via LeMat-Bulk.

Lattice parameters (Å, degrees): 9.7566 9.7566 9.7566 149.82 149.82 43.21
Closest atoms and distances in Å follow each position.
Positions (direct):
Cs (0.0000, 0.0000, 0.0000)  4 W 3.40, 4 Ta 3.59
Cs (0.7500, 0.2500, 0.5000)  4 W 3.40, 4 Ta 3.59
Ta (0.2500, 0.7500, 0.5000)  4 W 2.62
Ta (0.5000, 0.5000, 0.0000)  4 W 2.62
W (0.3071, 0.1250, 0.6821)  2 Ta 2.62, 2 W 2.63
W (0.3750, 0.6929, 0.8179)  2 Ta 2.62, 2 W 2.63
W (0.4429, 0.6250, 0.3179)  2 Ta 2.62, 2 W 2.63
W (0.8750, 0.5571, 0.1821)  2 Ta 2.62, 2 W 2.63

Computed properties:
relative energy among the computed polymorphs = 0.98 eV per formula unit
energy of formation = 2.281 eV/atom
symmetry = I-42d
calculated total energy = -7.37 eV per atom

---

The following is a PBE calculation of a geometry-optimized CsBa2CdPt structure, from Alexandria via LeMat-Bulk.

Lattice parameters (Å, degrees): 6.1653 6.1653 6.6540 90.00 90.00 90.00
Closest atoms and distances in Å follow each position.
Positions (direct):
Cs (0.0000, 0.0000, 0.0000)  2 Pt 3.33
Ba (0.0000, 0.5000, 0.5000)  2 Pt 3.08
Ba (0.5000, 0.0000, 0.5000)  2 Pt 3.08
Cd (0.5000, 0.5000, 0.0000)  4 Cs 4.36, 8 Ba 4.54
Pt (0.0000, 0.0000, 0.5000)  4 Ba 3.08, 2 Cs 3.33

Computed properties:
relative energy among the computed polymorphs = 0.30 eV per formula unit
energy of formation = -0.210 eV/atom
symmetry = P4/mmm
calculated total energy = -2.54 eV per atom

---

The following is a PBE calculation of a geometry-optimized La5Pm3Dy3 structure, from Alexandria via LeMat-Bulk.

Lattice parameters (Å, degrees): 11.4947 11.4947 3.4880 90.00 90.00 120.00
Closest atoms and distances in Å follow each position.
Positions (direct):
La (0.0000, 0.3374, 0.0000)  2 Dy 3.36, 2 Pm 3.47, 2 La 3.49
La (0.3333, 0.6667, 0.0000)  5 La 3.49-3.81
La (0.3374, 0.0000, 0.0000)  2 Dy 3.36, 2 Pm 3.47, 2 La 3.49
La (0.6626, 0.6626, 0.0000)  2 Dy 3.36, 2 Pm 3.47, 2 La 3.49
La (0.6667, 0.3333, 0.0000)  5 La 3.49-3.81
Pm (0.0000, 0.5987, 0.5000)  2 Dy 3.29, 2 La 3.47, 2 Pm 3.49
Pm (0.4013, 0.4013, 0.5000)  2 Dy 3.29, 2 La 3.47, 2 Pm 3.49
Pm (0.5987, 0.0000, 0.5000)  2 Dy 3.29, 2 La 3.47, 2 Pm 3.49
Dy (0.0000, 0.8410, 0.0000)  4 Dy 3.17-3.49, 2 Pm 3.29, 2 La 3.36
Dy (0.1590, 0.1590, 0.0000)  4 Dy 3.17-3.49, 2 Pm 3.29, 2 La 3.36
Dy (0.8410, 0.0000, 0.0000)  4 Dy 3.17-3.49, 2 Pm 3.29, 2 La 3.36

Computed properties:
energy of formation = 0.286 eV/atom
symmetry = P-62m
calculated total energy = -4.50 eV per atom

---

Please write out number 2 again, unchanged.
The following is a PBE calculation of a geometry-optimized CsBa2CdPt structure, from Alexandria via LeMat-Bulk.

Lattice parameters (Å, degrees): 6.1653 6.1653 6.6540 90.00 90.00 90.00
Closest atoms and distances in Å follow each position.
Positions (direct):
Cs (0.0000, 0.0000, 0.0000)  2 Pt 3.33
Ba (0.0000, 0.5000, 0.5000)  2 Pt 3.08
Ba (0.5000, 0.0000, 0.5000)  2 Pt 3.08
Cd (0.5000, 0.5000, 0.0000)  4 Cs 4.36, 8 Ba 4.54
Pt (0.0000, 0.0000, 0.5000)  4 Ba 3.08, 2 Cs 3.33

Computed properties:
relative energy among the computed polymorphs = 0.30 eV per formula unit
energy of formation = -0.210 eV/atom
symmetry = P4/mmm
calculated total energy = -2.54 eV per atom